Record 1
# NaDySc2

An optimized crystal structure of NaDySc2 (GGA-PBE, the Alexandria database).

abc: 3.3265 3.3265 12.2658
angles: 82.21 82.21 60.00
With the nearest neighbours (Å) after each atom.
Atoms (fractional coordinates):
Dy  0.5000  0.5000  0.5000  6 Dy 3.33, 6 Sc 3.33
Sc  0.0918  0.0918  0.7246  6 Sc 3.33, 3 Dy 3.33, 1 Na 3.34
Sc  0.9082  0.9082  0.2754  6 Sc 3.33, 3 Dy 3.33, 1 Na 3.34
Na  0.0000  0.0000  0.0000  6 Na 3.33, 2 Sc 3.34

Results
**N(E_F)**: 6.55 states/eV per cell
**Formation enthalpy at 0 K**: 0.2396 eV/atom
**Calculated total energy**: -17.6 eV/cell

***

Record 2
# NaDy2Sc

An optimized crystal structure of NaDy2Sc (GGA-PBE, the Alexandria database).

abc: 3.7429 3.7429 8.9635
angles: 90.00 90.00 90.00
With the nearest neighbours (Å) after each atom.
Atoms (fractional coordinates):
Dy  0.0000  0.0000  0.7912  4 Sc 3.24
Dy  0.0000  0.0000  0.2088  4 Sc 3.24
Na  0.5000  0.5000  0.5000  8 Dy 3.72, 4 Na 3.74
Sc  0.5000  0.5000  0.0000  8 Dy 3.24

Results
**N(E_F)**: 4.19 states/eV per cell
**Formation enthalpy at 0 K**: 0.1533 eV/atom
**Polymorph energy (0 for the lowest one)**: 0 meV per atom
**Calculated total energy**: -16.2 eV/cell